VASP calculation (PBE-GGA) on a relaxed AcLaHo2Er crystal.

Results
E_form = 0.0488 eV per atom
Magnetic moment = 0.000 μB per atom

Unit cell a=6.375 b=5.880 c=9.820 alpha=90.00 beta=108.94 gamma=90.00
Space group P2_1/m (No. 11)
Asymmetric unit:
Ac1 0.232 0.250 0.303 [2 per cell]
La1 0.045 0.250 0.904 [2 per cell]
Ho1 0.367 0.750 0.902 [2 per cell]
Ho2 0.428 0.250 0.703 [2 per cell]
Er1 0.165 0.750 0.501 [2 per cell]



VASP calculation (PBE-GGA) on a relaxed K2USbSe6 crystal.

Results
Formation energy without anion corrections = -779 meV per atom
Magnetic moment = 0.000 μB per atom

Unit cell a=13.159 b=7.488 c=7.797 alpha=90.00 beta=125.68 gamma=90.00
Space group C2/m (No. 12)
Asymmetric unit:
K1 0.250 0.000 0.246 [4 per cell]
U1 0.000 0.500 0.000 [2 per cell]
Sb1 0.000 0.000 0.500 [2 per cell]
Se1 0.046 0.252 0.805 [8 per cell]
Se2 0.243 0.500 0.324 [4 per cell]



VASP calculation (PBE-GGA) on a relaxed CaBeAsF crystal.

Results
Formation energy without anion corrections = -1870 meV per atom
Magnetic moment = 0.000 μB per atom

Unit cell a=3.818 b=3.818 c=8.705 alpha=90.00 beta=90.00 gamma=90.00
Space group P4/nmm (No. 129, origin choice 2)
Asymmetric unit:
Ca1 0.250 0.250 0.156 [2 per cell]
Be1 0.250 0.750 0.500 [2 per cell]
As1 0.250 0.250 0.656 [2 per cell]
F1 0.250 0.750 0.000 [2 per cell]